# 1
{
  "formula": "CsTaCd3",
  "functional": "PBE",
  "state": "optimized geometry",
  "magmom_total_mub_per_cell": 3.92,
  "formation_energy_ev_per_atom": 1.8861,
  "lattice_angstrom": [[6.7581, 0.0000, 0.0000], [0.0000, 6.7581, 0.0000], [0.0000, 0.0000, 6.7581]],
  "species": ["Cs", "Ta", "Cd", "Cd", "Cd"],
  "frac_coords": [[0.0000, 0.0000, 0.0000], [0.5000, 0.5000, 0.5000], [0.0000, 0.0000, 0.5000], [0.0000, 0.5000, 0.0000], [0.5000, 0.0000, 0.0000]]
}

# 2
{
  "formula": "CsTa2Cd",
  "functional": "PBE",
  "state": "optimized geometry",
  "magmom_total_mub_per_cell": 0.00,
  "formation_energy_ev_per_atom": 1.6018,
  "lattice_angstrom": [[4.6561, 0.0000, 0.0000], [0.0000, 4.6561, 0.0000], [0.0000, 0.0000, 22.1276]],
  "species": ["Cs", "Cs", "Cs", "Cs", "Ta", "Ta", "Ta", "Ta", "Ta", "Ta", "Ta", "Ta", "Cd", "Cd", "Cd", "Cd"],
  "frac_coords": [[0.0000, 0.0000, 0.0000], [0.0000, 0.5000, 0.2500], [0.5000, 0.0000, 0.7500], [0.5000, 0.5000, 0.5000], [0.1145, 0.2500, 0.6250], [0.2500, 0.6145, 0.8750], [0.2500, 0.8855, 0.3750], [0.3855, 0.2500, 0.1250], [0.6145, 0.7500, 0.1250], [0.7500, 0.1145, 0.3750], [0.7500, 0.3855, 0.8750], [0.8855, 0.7500, 0.6250], [0.0000, 0.0000, 0.5000], [0.0000, 0.5000, 0.7500], [0.5000, 0.0000, 0.2500], [0.5000, 0.5000, 0.0000]]
}

# 3
{
  "formula": "CsTbCd2",
  "functional": "PBE",
  "state": "optimized geometry",
  "magmom_total_mub_per_cell": 0.00,
  "formation_energy_ev_per_atom": -0.0607,
  "lattice_angstrom": [[3.8954, 0.0000, 0.0000], [0.0000, 3.8954, 0.0000], [0.0000, 0.0000, 9.1568]],
  "species": ["Cs", "Tb", "Cd", "Cd"],
  "frac_coords": [[0.0000, 0.0000, 0.0000], [0.0000, 0.0000, 0.5000], [0.5000, 0.5000, 0.3168], [0.5000, 0.5000, 0.6832]]
}

# 4
{
  "formula": "CsTbCd17",
  "functional": "PBE",
  "state": "optimized geometry",
  "magmom_total_mub_per_cell": 0.00,
  "formation_energy_ev_per_atom": -0.0552,
  "lattice_angstrom": [[5.1580, 2.9779, 5.0762], [-5.1580, 2.9779, 5.0762], [0.0000, -5.9559, 5.0762]],
  "species": ["Cs", "Tb", "Cd", "Cd", "Cd", "Cd", "Cd", "Cd", "Cd", "Cd", "Cd", "Cd", "Cd", "Cd", "Cd", "Cd", "Cd", "Cd", "Cd"],
  "frac_coords": [[0.0000, 0.0000, 0.0000], [0.6659, 0.6659, 0.6659], [0.0407, 0.3414, 0.6298], [0.0407, 0.6298, 0.3414], [0.2124, 0.6860, 0.6860], [0.2484, 0.2484, 0.2484], [0.3223, 0.3223, 0.8553], [0.3223, 0.8553, 0.3223], [0.3414, 0.0407, 0.6298], [0.3414, 0.6298, 0.0407], [0.4463, 0.4463, 0.4463], [0.5281, 0.9590, 0.9590], [0.6298, 0.0407, 0.3414], [0.6298, 0.3414, 0.0407], [0.6860, 0.2124, 0.6860], [0.6860, 0.6860, 0.2124], [0.8553, 0.3223, 0.3223], [0.9590, 0.5281, 0.9590], [0.9590, 0.9590, 0.5281]]
}

# 5
{
  "formula": "Cs3Tb2CdTe6",
  "functional": "PBE",
  "state": "optimized geometry",
  "magmom_total_mub_per_cell": 0.00,
  "raw_formation_energy_ev_per_atom": -1.055,
  "lattice_angstrom": [[3.9298, -6.8020, 0.0000], [3.9298, 6.8020, 0.0000], [-2.6152, 0.0000, 8.9954]],
  "species": ["Cs", "Cs", "Cs", "Tb", "Tb", "Cd", "Te", "Te", "Te", "Te", "Te", "Te"],
  "frac_coords": [[0.0000, 0.0000, 0.0000], [0.3337, 0.6663, 0.0000], [0.6663, 0.3337, 0.0000], [0.1667, 0.8333, 0.5000], [0.8333, 0.1667, 0.5000], [0.5000, 0.5000, 0.5000], [0.1034, 0.4370, 0.3110], [0.2290, 0.2290, 0.6892], [0.4370, 0.1034, 0.3110], [0.5630, 0.8966, 0.6890], [0.7710, 0.7710, 0.3108], [0.8966, 0.5630, 0.6890]]
}

# 6
{
  "formula": "CsCd3Tc",
  "functional": "PBE",
  "state": "optimized geometry",
  "magmom_total_mub_per_cell": 1.07,
  "formation_energy_ev_per_atom": 0.4531,
  "lattice_angstrom": [[5.4528, 0.0000, 0.0000], [0.0000, 5.4528, 0.0000], [0.0000, 0.0000, 5.4528]],
  "species": ["Cs", "Cd", "Cd", "Cd", "Tc"],
  "frac_coords": [[0.0000, 0.0000, 0.0000], [0.0000, 0.5000, 0.5000], [0.5000, 0.0000, 0.5000], [0.5000, 0.5000, 0.0000], [0.5000, 0.5000, 0.5000]]
}

# 7
{
  "formula": "CsCdTe",
  "functional": "PBE",
  "state": "optimized geometry",
  "magmom_total_mub_per_cell": 0.00,
  "raw_formation_energy_ev_per_atom": -0.700,
  "e_above_lowest_polymorph_mev_per_atom": 0,
  "lattice_angstrom": [[12.6537, 0.0000, 0.0000], [0.0000, 4.8271, 0.0000], [-5.0285, 0.0000, 7.7704]],
  "species": ["Cs", "Cs", "Cs", "Cs", "Cd", "Cd", "Cd", "Cd", "Te", "Te", "Te", "Te"],
  "frac_coords": [[0.0608, 0.0000, 0.3446], [0.4392, 0.5000, 0.6554], [0.5608, 0.5000, 0.3446], [0.9392, 0.0000, 0.6554], [0.1288, 0.5000, 0.0444], [0.3712, 0.0000, 0.9556], [0.6288, 0.0000, 0.0444], [0.8712, 0.5000, 0.9556], [0.2060, 0.5000, 0.7778], [0.2940, 0.0000, 0.2222], [0.7060, 0.0000, 0.7778], [0.7940, 0.5000, 0.2222]]
}

# 8
{
  "formula": "Cs12Cd5Te3",
  "functional": "PBE",
  "state": "optimized geometry",
  "magmom_total_mub_per_cell": 0.08,
  "raw_formation_energy_ev_per_atom": -0.276,
  "lattice_angstrom": [[-11.1731, 11.1731, 11.1731], [11.1731, -11.1731, 11.1731], [11.1731, 11.1731, -11.1731]],
  "species": ["Cs", "Cs", "Cs", "Cs", "Cs", "Cs", "Cs", "Cs", "Cs", "Cs", "Cs", "Cs", "Cs", "Cs", "Cs", "Cs", "Cs", "Cs", "Cs", "Cs", "Cs", "Cs", "Cs", "Cs", "Cs", "Cs", "Cs", "Cs", "Cs", "Cs", "Cs", "Cs", "Cs", "Cs", "Cs", "Cs", "Cs", "Cs", "Cs", "Cs", "Cs", "Cs", "Cs", "Cs", "Cs", "Cs", "Cs", "Cs", "Cd", "Cd", "Cd", "Cd", "Cd", "Cd", "Cd", "Cd", "Cd", "Cd", "Cd", "Cd", "Cd", "Cd", "Cd", "Cd", "Cd", "Cd", "Cd", "Cd", "Te", "Te", "Te", "Te", "Te", "Te", "Te", "Te", "Te", "Te", "Te", "Te"],
  "frac_coords": [[0.0643, 0.2355, 0.1356], [0.0643, 0.3288, 0.9287], [0.0713, 0.6356, 0.4001], [0.0713, 0.9357, 0.6712], [0.0999, 0.7355, 0.6712], [0.0999, 0.8644, 0.4287], [0.1356, 0.0643, 0.2355], [0.1356, 0.5713, 0.9001], [0.1712, 0.2355, 0.5999], [0.1712, 0.4357, 0.5713], [0.2355, 0.1356, 0.0643], [0.2355, 0.5999, 0.1712], [0.2645, 0.3288, 0.9001], [0.2645, 0.4357, 0.3644], [0.3288, 0.9001, 0.2645], [0.3288, 0.9287, 0.0643], [0.3644, 0.2645, 0.4357], [0.3644, 0.5999, 0.9287], [0.4001, 0.0713, 0.6356], [0.4001, 0.8288, 0.7645], [0.4287, 0.0999, 0.8644], [0.4287, 0.8288, 0.5643], [0.4357, 0.3644, 0.2645], [0.4357, 0.5713, 0.1712], [0.5643, 0.4287, 0.8288], [0.5643, 0.6356, 0.7355], [0.5713, 0.1712, 0.4357], [0.5713, 0.9001, 0.1356], [0.5999, 0.1712, 0.2355], [0.5999, 0.9287, 0.3644], [0.6356, 0.4001, 0.0713], [0.6356, 0.7355, 0.5643], [0.6712, 0.0713, 0.9357], [0.6712, 0.0999, 0.7355], [0.7355, 0.5643, 0.6356], [0.7355, 0.6712, 0.0999], [0.7645, 0.4001, 0.8288], [0.7645, 0.8644, 0.9357], [0.8288, 0.5643, 0.4287], [0.8288, 0.7645, 0.4001], [0.8644, 0.4287, 0.0999], [0.8644, 0.9357, 0.7645], [0.9001, 0.1356, 0.5713], [0.9001, 0.2645, 0.3288], [0.9287, 0.0643, 0.3288], [0.9287, 0.3644, 0.5999], [0.9357, 0.6712, 0.0713], [0.9357, 0.7645, 0.8644], [0.0000, 0.0000, 0.0000], [0.0000, 0.0000, 0.5000], [0.0000, 0.5000, 0.0000], [0.0000, 0.5000, 0.5000], [0.1250, 0.7500, 0.8750], [0.1250, 0.8750, 0.2500], [0.2500, 0.1250, 0.8750], [0.2500, 0.6250, 0.3750], [0.3750, 0.2500, 0.6250], [0.3750, 0.6250, 0.7500], [0.5000, 0.0000, 0.0000], [0.5000, 0.0000, 0.5000], [0.5000, 0.5000, 0.0000], [0.5000, 0.5000, 0.5000], [0.6250, 0.3750, 0.2500], [0.6250, 0.7500, 0.3750], [0.7500, 0.3750, 0.6250], [0.7500, 0.8750, 0.1250], [0.8750, 0.1250, 0.7500], [0.8750, 0.2500, 0.1250], [0.1250, 0.2500, 0.3750], [0.1250, 0.3750, 0.7500], [0.2500, 0.3750, 0.1250], [0.2500, 0.8750, 0.6250], [0.3750, 0.1250, 0.2500], [0.3750, 0.7500, 0.1250], [0.6250, 0.2500, 0.8750], [0.6250, 0.8750, 0.7500], [0.7500, 0.1250, 0.3750], [0.7500, 0.6250, 0.8750], [0.8750, 0.6250, 0.2500], [0.8750, 0.7500, 0.6250]]
}

# 9
{
  "formula": "Cs3Cd2Te4",
  "functional": "PBE",
  "state": "optimized geometry",
  "magmom_total_mub_per_cell": 0.87,
  "raw_formation_energy_ev_per_atom": -0.757,
  "e_above_lowest_polymorph_mev_per_atom": 0,
  "lattice_angstrom": [[9.9943, -2.4840, 0.0000], [9.9943, 2.4840, 0.0000], [-3.7243, 0.0000, 8.1025]],
  "species": ["Cs", "Cs", "Cs", "Cd", "Cd", "Te", "Te", "Te", "Te"],
  "frac_coords": [[0.0000, 0.0000, 0.0000], [0.1342, 0.1342, 0.5504], [0.8658, 0.8658, 0.4496], [0.3293, 0.3293, 0.0467], [0.6707, 0.6707, 0.9533], [0.2101, 0.2101, 0.1577], [0.4761, 0.4761, 0.2983], [0.5239, 0.5239, 0.7017], [0.7899, 0.7899, 0.8423]]
}

# 10
{
  "formula": "Cs5Cd2Te5",
  "functional": "PBE",
  "state": "optimized geometry",
  "magmom_total_mub_per_cell": 0.04,
  "raw_formation_energy_ev_per_atom": -0.792,
  "lattice_angstrom": [[9.0228, -2.3216, 0.0000], [9.0228, 2.3216, 0.0000], [-2.7955, 0.0000, 13.1656]],
  "species": ["Cs", "Cs", "Cs", "Cs", "Cs", "Cd", "Cd", "Te", "Te", "Te", "Te", "Te"],
  "frac_coords": [[0.0000, 0.0000, 0.0000], [0.1588, 0.1588, 0.5960], [0.2836, 0.2836, 0.8775], [0.7164, 0.7164, 0.1225], [0.8412, 0.8412, 0.4040], [0.4658, 0.4658, 0.7030], [0.5342, 0.5342, 0.2970], [0.1306, 0.1306, 0.2900], [0.3905, 0.3905, 0.1563], [0.5000, 0.5000, 0.5000], [0.6095, 0.6095, 0.8437], [0.8694, 0.8694, 0.7100]]
}